Entry 1:
ScPaZn2Ga2 | Alexandria | PBE | relaxed; SG = P-3m1 (164); volume = 113 Å³/f.u.; crystal system = trigonal; DFT total energy = -26.6 eV for the cell shown; theoretical density = 8.01 g/cm³
1.0
-0.878 4.196 0.701
-1.152 -2.981 2.942
6.120 0.753 3.161
Ga Pa Sc Zn
2 1 1 2
direct
0.667 0.333 0.739
0.333 0.667 0.261
0.000 0.000 0.000
0.000 0.000 0.500
0.333 0.667 0.723
0.667 0.333 0.277



Entry 2:
Pa2GaSe | Alexandria | PBE | relaxed; SG = R-3m (166); volume = 99 Å³/f.u.; formation energy from raw total energies = -602 meV per atom; crystal system = trigonal; polymorph energy (0 for the lowest one) = 0 meV/atom; DFT total energy = -27.9 eV for the cell shown; theoretical density = 10.27 g/cm³
1.0
-3.492 -1.790 -1.480
-0.067 -4.114 -0.808
-3.163 -3.128 5.303
Se Pa Ga
1 2 1
direct
0.000 0.000 0.000
0.751 0.751 0.748
0.249 0.249 0.252
0.500 0.500 0.500



Entry 3:
PaGa2Se4 | Alexandria | PBE | relaxed; SG = I4/m (87); volume = 196 Å³/f.u.; formation energy from raw total energies = -444 meV per atom; crystal system = tetragonal; DFT total energy = -32.6 eV for the cell shown; theoretical density = 5.80 g/cm³
1.0
6.363 0.147 0.000
-2.934 5.648 0.000
-1.714 -2.897 5.401
Se Ga Pa
4 2 1
direct
0.312 0.178 0.490
0.688 0.822 0.510
0.178 0.688 0.865
0.822 0.312 0.135
0.750 0.250 0.500
0.250 0.750 0.500
0.500 0.500 0.000



Entry 4:
Pa4GaSe5 | Alexandria | PBE | relaxed; SG = C2/m (12); volume = 290 Å³/f.u.; formation energy from raw total energies = -1022 meV per atom; crystal system = monoclinic; DFT total energy = -68.7 eV for the cell shown; theoretical density = 7.95 g/cm³
1.0
4.087 0.000 0.000
0.000 8.224 -0.436
-2.044 -1.626 8.715
Se Ga Pa
5 1 4
direct
0.500 0.500 0.000
0.833 0.162 0.667
0.834 0.670 0.669
0.167 0.838 0.333
0.166 0.330 0.331
0.500 0.000 0.000
0.000 0.750 0.999
0.332 0.908 0.665
0.000 0.250 0.001
0.668 0.092 0.335



Entry 5:
PaGaSe | Alexandria | PBE | relaxed; SG = I4/mmm (139); volume = 66 Å³/f.u.; formation energy from raw total energies = -900 meV per atom; crystal system = tetragonal; DFT total energy = -37.4 eV for the cell shown; theoretical density = 9.55 g/cm³
1.0
4.029 0.000 0.000
0.000 4.029 0.000
-2.015 -2.015 8.134
Pa Se Ga
2 2 2
direct
0.359 0.359 0.719
0.641 0.641 0.281
0.823 0.823 0.646
0.177 0.177 0.354
0.000 0.500 0.000
0.500 0.000 0.000



Entry 6:
Pa6GaSe5 | Alexandria | PBE | relaxed; SG = C2/m (12); volume = 289 Å³/f.u.; formation energy from raw total energies = -1023 meV per atom; crystal system = monoclinic; DFT total energy = -89.7 eV for the cell shown; theoretical density = 10.63 g/cm³
1.0
-4.641 3.826 -3.335
-6.425 -3.218 0.056
-4.631 1.317 5.359
Pa Ga Se
6 1 5
direct
0.254 0.581 0.333
0.746 0.419 0.667
0.746 0.085 0.333
0.750 0.748 0.000
0.250 0.252 0.000
0.254 0.915 0.667
0.000 0.000 0.000
0.000 0.668 0.665
0.500 0.500 0.000
0.500 0.836 0.328
0.000 0.332 0.335
0.500 0.164 0.672